1:
VASP calculation (PBE) on an optimized crystal structure of B3IrN.

Cell lengths 4.1042, 4.1042, 4.1042 Å; angles 90.00, 90.00, 90.00 degrees
Sites, in units of the cell vectors:
B 0.0000 0.0000 0.5000
B 0.0000 0.5000 0.0000
B 0.5000 0.0000 0.0000
Ir 0.0000 0.0000 0.0000
N 0.5000 0.5000 0.5000

2:
VASP calculation (PBE) on an optimized crystal structure of B3IrN.

Cell lengths 3.4440, 3.4440, 3.4440 Å; angles 90.00, 90.00, 90.00 degrees
Sites, in units of the cell vectors:
B 0.0000 0.0000 0.5000
B 0.0000 0.5000 0.0000
B 0.5000 0.0000 0.0000
Ir 0.5000 0.5000 0.5000
N 0.0000 0.0000 0.0000

Pick the most stable structure from those above. Pick: 2